(1)
Computed, not measured: a geometry-optimized La5SmTh structure at the PBE-GGA level of DFT.

- E_tot (eV/atom) = -5.163
- symmetry = No. 1
- calculated density (g/cm3) = 7.1

```
La5SmTh
1.0
6.210 0.000 0.000
-0.045 6.539 0.000
-3.035 -0.986 6.186
La Sm Th
5 1 1
direct
0.000 0.000 0.000
0.038 0.559 0.272
0.549 0.208 0.090
0.589 0.863 0.449
0.716 0.386 0.663
0.351 0.665 0.857
0.136 0.102 0.554
```

(2)
Computed, not measured: a geometry-optimized CdIn2Se structure at the PBE-GGA level of DFT.

- polymorph energy (0 for the lowest one) (eV per formula unit) = 0.00
- symmetry = No. 12
- ΔE_f (raw) (eV per formula unit) = -0.78
- calculated density (g/cm3) = 6.5

```
CdIn2Se
1.0
3.520 -2.005 0.000
3.520 2.005 0.000
-2.268 0.000 7.654
Cd In Se
1 2 1
direct
0.000 0.000 0.000
0.245 0.245 0.735
0.755 0.755 0.265
0.500 0.500 0.500
```

(3)
Computed, not measured: a geometry-optimized BaCoOs2Ru structure at the PBE-GGA level of DFT.

- E_tot (eV/atom) = -6.257
- symmetry = No. 123
- calculated density (g/cm3) = 10.6

```
BaCoOs2Ru
1.0
4.475 0.000 0.000
0.000 4.475 0.000
0.000 0.000 5.293
Ba Co Os Ru
1 1 2 1
direct
0.000 0.000 0.000
0.000 0.000 0.500
0.000 0.500 0.500
0.500 0.000 0.500
0.500 0.500 0.000
```

(4)
Computed, not measured: a geometry-optimized CaMn2Os structure at the PBE-GGA level of DFT.

- polymorph energy (0 for the lowest one) (eV per formula unit) = 0.76
- symmetry = No. 8
- calculated density (g/cm3) = 8.0

```
CaMn2Os
1.0
4.398 -1.457 0.000
4.398 1.457 0.000
-0.878 0.000 5.508
Ca Mn Os
1 2 1
direct
0.000 0.000 0.000
0.229 0.229 0.690
0.491 0.491 0.485
0.757 0.757 0.348
```

(5)
Computed, not measured: a geometry-optimized ZrP2Au structure at the PBE-GGA level of DFT.

- polymorph energy (0 for the lowest one) (eV per formula unit) = 0.09
- symmetry = No. 6
- calculated density (g/cm3) = 8.0

```
ZrP2Au
1.0
3.677 0.000 0.000
0.000 3.773 0.000
-0.748 0.000 5.263
Zr P Au
1 2 1
direct
0.000 0.000 0.000
0.463 0.500 0.907
0.826 0.000 0.462
0.327 0.500 0.426
```

(6)
Computed, not measured: a geometry-optimized NaSnB structure at the PBE-GGA level of DFT.

- E_tot (eV/atom) = -3.714
- symmetry = No. 14
- calculated density (g/cm3) = 3.9

```
NaSnB
1.0
6.726 0.000 0.000
0.000 6.659 0.000
-2.837 0.000 5.756
Na Sn B
4 4 4
direct
0.216 0.178 0.367
0.216 0.322 0.867
0.784 0.678 0.133
0.784 0.822 0.633
0.268 0.720 0.604
0.268 0.780 0.104
0.732 0.220 0.896
0.732 0.280 0.396
0.486 0.547 0.381
0.486 0.953 0.881
0.514 0.047 0.119
0.514 0.453 0.619
```

(7)
Computed, not measured: a geometry-optimized CaCrCu structure at the PBE-GGA level of DFT.

- polymorph energy (0 for the lowest one) (eV per formula unit) = 0.00
- symmetry = No. 107
- calculated density (g/cm3) = 4.3

```
CaCrCu
1.0
-1.686 1.686 5.328
1.686 -1.686 5.328
1.686 1.686 -5.328
Ca Cr Cu
1 1 1
direct
0.000 0.000 0.000
0.289 0.289 0.000
0.694 0.694 0.000
```

(8)
Computed, not measured: a geometry-optimized Pu2MgHg structure at the PBE-GGA level of DFT.

- polymorph energy (0 for the lowest one) (eV per formula unit) = 0.21
- symmetry = No. 225
- calculated density (g/cm3) = 11.1

```
Pu2MgHg
1.0
0.000 3.763 3.763
3.763 0.000 3.763
3.763 3.763 0.000
Pu Mg Hg
2 1 1
direct
0.250 0.250 0.250
0.750 0.750 0.750
0.000 0.000 0.000
0.500 0.500 0.500
```